(1)
Cs12Cd3Pd5 | PBE-GGA | optimized geometry

```
data_Cs12Cd3Pd5
_symmetry_space_group_name_H-M 'P 1'
_symmetry_Int_Tables_number 1
_cell_length_a 18.6923
_cell_length_b 18.6923
_cell_length_c 18.6923
_cell_angle_alpha 109.47
_cell_angle_beta 109.47
_cell_angle_gamma 109.47
loop_
_symmetry_equiv_pos_as_xyz
'x,y,z'
loop_
_atom_site_label
_atom_site_type_symbol
_atom_site_fract_x
_atom_site_fract_y
_atom_site_fract_z
Cs1 Cs 0.8903 0.5931 0.9122
Cs2 Cs 0.8192 0.9122 0.0220
Cs3 Cs 0.0878 0.9069 0.1097
Cs4 Cs 0.6097 0.5878 0.9069
Cs5 Cs 0.5878 0.9780 0.6808
Cs6 Cs 0.5220 0.2028 0.1097
Cs7 Cs 0.0220 0.6097 0.7028
Cs8 Cs 0.5931 0.7028 0.6808
Cs9 Cs 0.6097 0.0220 0.2028
Cs10 Cs 0.8192 0.9069 0.2972
Cs11 Cs 0.4069 0.1097 0.5878
Cs12 Cs 0.9122 0.0931 0.8903
Cs13 Cs 0.2028 0.6808 0.0931
Cs14 Cs 0.9122 0.8192 0.5220
Cs15 Cs 0.5878 0.6097 0.4069
Cs16 Cs 0.7028 0.1097 0.0220
Cs17 Cs 0.3903 0.9780 0.7972
Cs18 Cs 0.1097 0.4069 0.0878
Cs19 Cs 0.0220 0.4122 0.8192
Cs20 Cs 0.2972 0.4069 0.8192
Cs21 Cs 0.4122 0.0220 0.3192
Cs22 Cs 0.2028 0.5220 0.6097
Cs23 Cs 0.5931 0.8903 0.4122
Cs24 Cs 0.9780 0.5878 0.1808
Cs25 Cs 0.3903 0.4122 0.0931
Cs26 Cs 0.7972 0.3192 0.9069
Cs27 Cs 0.7028 0.5931 0.1808
Cs28 Cs 0.4069 0.2972 0.3192
Cs29 Cs 0.4122 0.3903 0.5931
Cs30 Cs 0.9780 0.3903 0.2972
Cs31 Cs 0.8903 0.2972 0.4780
Cs32 Cs 0.0931 0.9122 0.3903
Cs33 Cs 0.6808 0.4780 0.5878
Cs34 Cs 0.0931 0.1808 0.2028
Cs35 Cs 0.9069 0.8192 0.7972
Cs36 Cs 0.3192 0.5220 0.4122
Cs37 Cs 0.1097 0.7028 0.5220
Cs38 Cs 0.1808 0.0931 0.7028
Cs39 Cs 0.7972 0.4780 0.3903
Cs40 Cs 0.0878 0.1808 0.4780
Cs41 Cs 0.1808 0.0878 0.9780
Cs42 Cs 0.4780 0.6808 0.0878
Cs43 Cs 0.5220 0.3192 0.9122
Cs44 Cs 0.6808 0.2028 0.5931
Cs45 Cs 0.3192 0.7972 0.4069
Cs46 Cs 0.9069 0.0878 0.6097
Cs47 Cs 0.2972 0.8903 0.9780
Cs48 Cs 0.4780 0.7972 0.8903
Pd1 Pd 0.0000 0.5000 0.5000
Pd2 Pd 0.1250 0.3750 0.2500
Pd3 Pd 0.7500 0.6250 0.3750
Pd4 Pd 0.5000 0.5000 0.5000
Pd5 Pd 0.0000 0.5000 0.0000
Pd6 Pd 0.2500 0.8750 0.1250
Pd7 Pd 0.5000 0.5000 0.0000
Pd8 Pd 0.0000 0.0000 0.5000
Pd9 Pd 0.3750 0.1250 0.7500
Pd10 Pd 0.5000 0.0000 0.5000
Pd11 Pd 0.3750 0.2500 0.1250
Pd12 Pd 0.8750 0.2500 0.6250
Pd13 Pd 0.6250 0.7500 0.8750
Pd14 Pd 0.5000 0.0000 0.0000
Pd15 Pd 0.1250 0.7500 0.3750
Pd16 Pd 0.6250 0.8750 0.2500
Pd17 Pd 0.8750 0.6250 0.7500
Pd18 Pd 0.0000 0.0000 0.0000
Pd19 Pd 0.7500 0.1250 0.8750
Pd20 Pd 0.2500 0.3750 0.6250
Cd1 Cd 0.1250 0.2500 0.8750
Cd2 Cd 0.3750 0.6250 0.2500
Cd3 Cd 0.8750 0.7500 0.1250
Cd4 Cd 0.7500 0.3750 0.1250
Cd5 Cd 0.8750 0.1250 0.2500
Cd6 Cd 0.2500 0.6250 0.8750
Cd7 Cd 0.1250 0.8750 0.7500
Cd8 Cd 0.7500 0.8750 0.6250
Cd9 Cd 0.6250 0.3750 0.7500
Cd10 Cd 0.6250 0.2500 0.3750
Cd11 Cd 0.3750 0.7500 0.6250
Cd12 Cd 0.2500 0.1250 0.3750
```

Properties
electronic total energy: -1.78 eV/atom
V: 62.846 A^3/atom
crystal system: cubic
space-group type: Ia-3d, No. 230
ΔH_f (0 K): 0.171 eV/atom
Fermi-level density of states: 48.7 states/eV per cell


(2)
K2CeTa3O12 | PBE-GGA | optimized geometry

```
data_K2CeTa3O12
_symmetry_space_group_name_H-M 'P 1'
_symmetry_Int_Tables_number 1
_cell_length_a 7.6054
_cell_length_b 7.6054
_cell_length_c 7.6054
_cell_angle_alpha 60.38
_cell_angle_beta 60.38
_cell_angle_gamma 60.38
loop_
_symmetry_equiv_pos_as_xyz
'x,y,z'
loop_
_atom_site_label
_atom_site_type_symbol
_atom_site_fract_x
_atom_site_fract_y
_atom_site_fract_z
Ta1 Ta 0.0000 0.0000 0.5000
Ta2 Ta 0.0000 0.5000 0.0000
Ta3 Ta 0.5000 0.0000 0.0000
O1 O 0.0856 0.6460 0.0856
O2 O 0.9323 0.2987 0.2987
O3 O 0.9144 0.9144 0.3540
O4 O 0.7013 0.7013 0.0677
O5 O 0.3540 0.9144 0.9144
O6 O 0.2987 0.9323 0.2987
O7 O 0.9144 0.3540 0.9144
O8 O 0.0856 0.0856 0.6460
O9 O 0.2987 0.2987 0.9323
O10 O 0.7013 0.0677 0.7013
O11 O 0.6460 0.0856 0.0856
O12 O 0.0677 0.7013 0.7013
K1 K 0.6419 0.6419 0.6419
K2 K 0.3581 0.3581 0.3581
Ce1 Ce 0.0000 0.0000 0.0000
```

Properties
electronic total energy: -8.13 eV/atom
V: 17.428 A^3/atom
crystal system: trigonal
E_form (uncorrected): -2400.8 meV per atom
space-group type: R-3m, No. 166
Fermi-level density of states: 10.7 states/eV per cell